The following is a PBE calculation of an optimized crystal structure of ZrScFeOs, from Alexandria via LeMat-Bulk.

```
4
Lattice="0.000 3.207 3.207 3.207 0.000 3.207 3.207 3.207 0.000" Properties=species:S:1:pos:R:3 pbc="T T T"
Zr 0.000 0.000 0.000
Sc 3.207 3.207 3.207
Fe 4.810 4.810 4.810
Os 1.603 1.603 1.603
```

Calculated values
Total magnetization = 0.06 μB per atom
Energy of formation from the pure elements = -0.32 eV/atom

The following is a PBE calculation of an optimized crystal structure of FeOsSe, from Alexandria via LeMat-Bulk.

```
3
Lattice="-1.501 1.919 3.792 1.501 -1.919 3.792 1.501 1.919 -3.792" Properties=species:S:1:pos:R:3 pbc="T T T"
Fe 0.000 0.000 0.000
Os 0.000 0.000 2.645
Se 0.000 0.000 5.200
```

Calculated values
Total magnetization = 1.00 μB per atom
E_form (uncorrected) = 598.9 meV per atom
Polymorph energy (0 for the lowest one) = 0.44 eV/f.u.

The following is a PBE calculation of an optimized crystal structure of FeOs4Se, from Alexandria via LeMat-Bulk.

```
6
Lattice="0.000 3.659 3.659 3.659 0.000 3.659 3.659 3.659 0.000" Properties=species:S:1:pos:R:3 pbc="T T T"
Fe 0.000 0.000 0.000
Os 4.574 2.743 2.743
Os 2.743 4.574 2.743
Os 2.743 2.743 4.574
Os 4.574 4.574 4.574
Se 1.829 1.829 1.829
```

Calculated values
Total magnetization = 0.61 μB per atom
E_form (uncorrected) = 1093.0 meV per atom

The following is a PBE calculation of an optimized crystal structure of FeOsSe, from Alexandria via LeMat-Bulk.

```
3
Lattice="4.176 0.000 0.000 -2.088 3.617 0.000 0.000 0.000 2.947" Properties=species:S:1:pos:R:3 pbc="T T T"
Fe 0.000 0.000 0.000
Os 2.088 1.206 1.474
Se 0.000 2.411 1.474
```

Calculated values
Total magnetization = 0.89 μB per atom
E_form (uncorrected) = 529.2 meV per atom
Polymorph energy (0 for the lowest one) = 0.23 eV/f.u.

Number 1: ρ 9.624 g/cm3. Number 2: ρ 12.351 g/cm3. Number 3: ρ 15.186 g/cm3. Number 4: ρ 12.126 g/cm3.